No. 1
Th5CS4 after structural relaxation. Source: Alexandria, functional GGA-PBE.

The crystal system is tetragonal. The uncorrected formation energy is -1.562 eV per atom.

The space group is I4/m (No. 87) and the conventional cell measures 8.937, 8.937 and 5.671 Å, with angles of 90.00, 90.00 and 90.00 degrees. Symmetry generates all atoms from Th at (0.000, 0.000, 0.000), Th at (0.095, 0.278, 0.500), C at (0.000, 0.000, 0.500) and S at (0.094, 0.304, 0.000).


No. 2
SiAg3Ge after structural relaxation. Source: Alexandria, functional GGA-PBE.

The crystal system is cubic. The offset from the most stable computed form is 0.0 meV per atom. The uncorrected formation energy is 0.545 eV per atom.

The space group is Pm-3m (No. 221) and the conventional cell measures 4.791, 4.791 and 4.791 Å, with angles of 90.00, 90.00 and 90.00 degrees. Symmetry generates all atoms from Si at (0.000, 0.000, 0.000), Ag at (0.000, 0.000, 0.500) and Ge at (0.500, 0.500, 0.500).


No. 3
La2FeIr after structural relaxation. Source: Alexandria, functional GGA-PBE.

The crystal system is tetragonal. The value obtained for the energy of formation from the pure elements is 0.020 eV/atom.

The space group is P4mm (No. 99) and the conventional cell measures 3.326, 3.326 and 8.828 Å, with angles of 90.00, 90.00 and 90.00 degrees. Symmetry generates all atoms from La at (0.000, 0.000, 0.000), La at (0.500, 0.500, 0.406), Fe at (0.000, 0.000, 0.642) and Ir at (0.500, 0.500, 0.780).